No. 1
Ta2FeAs | PBE | optimized geometry

Properties
Formation enthalpy at 0 K = -66 meV per atom
Raw total energy = -37.08 eV/cell
Mass density = 12.92 Mg/m³
SG = P4/mmm

abc: 3.3104 3.3104 5.7767
angles: 90.00 90.00 90.00
Last column: nearest neighbours and their distance in Å.
Positions (direct):
Ta  0.0000  0.0000  0.2466  4 Fe 2.74, 4 As 2.76, 2 Ta 2.85-2.93
Ta  0.0000  0.0000  0.7534  4 Fe 2.74, 4 As 2.76, 2 Ta 2.85-2.93
Fe  0.5000  0.5000  0.0000  8 Ta 2.74, 2 As 2.89
As  0.5000  0.5000  0.5000  8 Ta 2.76, 2 Fe 2.89



No. 2
NbGaCuSb2 | PBE | optimized geometry

Properties
Raw total energy = -20.85 eV/cell
Energy relative to the elements, uncorrected = 918 meV/atom
Mass density = 6.43 Mg/m³
SG = P4/mmm

abc: 5.2814 5.2814 4.3468
angles: 90.00 90.00 90.00
Last column: nearest neighbours and their distance in Å.
Positions (direct):
Nb  0.0000  0.0000  0.0000  8 Sb 3.42, 4 Cu 3.73
Ga  0.5000  0.5000  0.5000  2 Cu 2.17
Cu  0.5000  0.5000  0.0000  2 Ga 2.17
Sb  0.0000  0.5000  0.5000  2 Ga 2.64
Sb  0.5000  0.0000  0.5000  2 Ga 2.64



No. 3
NaTlC | PBE | optimized geometry

Properties
Formation enthalpy at 0 K = 304 meV per atom
Raw total energy = -47.99 eV/cell
Mass density = 5.64 Mg/m³
SG = Amm2

abc: 4.0352 3.6433 19.1720
angles: 90.00 90.00 90.00
Last column: nearest neighbours and their distance in Å.
Positions (direct):
Na  0.0000  0.0000  0.0000  2 C 2.54
Na  0.0000  0.5000  0.5000  2 C 2.54
Na  0.5000  0.0000  0.1475  8 C 2.73-2.92
Na  0.5000  0.5000  0.6475  8 C 2.73-2.92
Tl  0.0000  0.0000  0.7831  1 C 2.40
Tl  0.0000  0.5000  0.2831  1 C 2.40
Tl  0.5000  0.0000  0.3751  4 Tl 3.24, 4 Na 3.62
Tl  0.5000  0.5000  0.8751  4 Tl 3.24, 4 Na 3.62
C  0.0000  0.0000  0.5920  1 C 1.26
C  0.0000  0.0000  0.6578  1 C 1.26
C  0.0000  0.5000  0.0920  1 C 1.26
C  0.0000  0.5000  0.1578  1 C 1.26



No. 4
KNaSrHg | PBE | optimized geometry

Properties
Formation enthalpy at 0 K = -103 meV per atom
Raw total energy = -19.25 eV/cell
Mass density = 3.70 Mg/m³
SG = F-43m

abc: 8.5678 8.5678 8.5678
angles: 90.00 90.00 90.00
Last column: nearest neighbours and their distance in Å.
Positions (direct):
K  0.0000  0.0000  0.0000  4 Na 3.71, 4 Hg 3.71
K  0.0000  0.5000  0.5000  4 Na 3.71, 4 Hg 3.71
K  0.5000  0.0000  0.5000  4 Na 3.71, 4 Hg 3.71
K  0.5000  0.5000  0.0000  4 Na 3.71, 4 Hg 3.71
Na  0.2500  0.2500  0.2500  4 Sr 3.71, 4 K 3.71
Na  0.2500  0.7500  0.7500  4 K 3.71, 4 Sr 3.71
Na  0.7500  0.2500  0.7500  4 K 3.71, 4 Sr 3.71
Na  0.7500  0.7500  0.2500  4 K 3.71, 4 Sr 3.71
Sr  0.0000  0.0000  0.5000  4 Hg 3.71, 4 Na 3.71
Sr  0.0000  0.5000  0.0000  4 Hg 3.71, 4 Na 3.71
Sr  0.5000  0.0000  0.0000  4 Hg 3.71, 4 Na 3.71
Sr  0.5000  0.5000  0.5000  4 Hg 3.71, 4 Na 3.71
Hg  0.2500  0.2500  0.7500  4 K 3.71, 4 Sr 3.71
Hg  0.2500  0.7500  0.2500  4 K 3.71, 4 Sr 3.71
Hg  0.7500  0.2500  0.2500  4 K 3.71, 4 Sr 3.71
Hg  0.7500  0.7500  0.7500  4 K 3.71, 4 Sr 3.71



No. 5
SrCaAlPd | PBE | optimized geometry

Properties
Formation enthalpy at 0 K = -482 meV per atom
Raw total energy = -29.10 eV/cell
Mass density = 3.39 Mg/m³
SG = Cm

abc: 7.5853 4.3831 8.0995
angles: 90.00 108.39 90.00
Last column: nearest neighbours and their distance in Å.
Positions (direct):
Sr  0.0000  0.0000  0.0000  3 Pd 3.34-3.35, 3 Al 3.34
Sr  0.5000  0.5000  0.0000  3 Pd 3.34-3.35, 3 Al 3.34
Ca  0.3206  0.5000  0.4669  3 Pd 3.17, 3 Al 3.17
Ca  0.8206  0.0000  0.4669  3 Pd 3.17, 3 Al 3.17
Al  0.2375  0.0000  0.7153  3 Pd 2.53
Al  0.7375  0.5000  0.7153  3 Pd 2.53
Pd  0.0710  0.5000  0.7152  3 Al 2.53
Pd  0.5710  0.0000  0.7152  3 Al 2.53



No. 6
ErBiO4 | PBE | optimized geometry

Properties
Raw total energy = -161.59 eV/cell
Energy relative to the elements, uncorrected = -2020 meV/atom
Mass density = 8.88 Mg/m³
SG = P2_1/c

abc: 7.7907 5.4609 7.7853
angles: 90.00 96.09 90.00
Last column: nearest neighbours and their distance in Å.
Positions (direct):
Er  0.1325  0.2328  0.3823  6 O 2.22-2.48
Er  0.1325  0.2672  0.8823  6 O 2.22-2.48
Er  0.8675  0.7328  0.1177  6 O 2.22-2.48
Er  0.8675  0.7672  0.6177  6 O 2.22-2.48
Bi  0.3387  0.7287  0.1762  6 O 2.10-2.18
Bi  0.3387  0.7713  0.6762  6 O 2.10-2.18
Bi  0.6613  0.2287  0.3238  6 O 2.10-2.18
Bi  0.6613  0.2713  0.8238  6 O 2.10-2.18
O  0.1049  0.5074  0.1668  1 Bi 2.18, 2 Er 2.22-2.24
O  0.1049  0.9926  0.6668  1 Bi 2.18, 2 Er 2.22-2.24
O  0.1596  0.0094  0.1093  1 Bi 2.10, 1 Er 2.25
O  0.1596  0.4906  0.6093  1 Bi 2.10, 1 Er 2.25
O  0.3264  0.5845  0.9215  2 Bi 2.13-2.18, 1 Er 2.30
O  0.3264  0.9155  0.4215  2 Bi 2.13-2.18, 1 Er 2.30
O  0.4143  0.0994  0.8235  2 Bi 2.14-2.17
O  0.4143  0.4006  0.3235  2 Bi 2.14-2.17
O  0.5857  0.5994  0.6765  2 Bi 2.14-2.17
O  0.5857  0.9006  0.1765  2 Bi 2.14-2.17
O  0.6736  0.0845  0.5785  2 Bi 2.13-2.18, 1 Er 2.30
O  0.6736  0.4155  0.0785  2 Bi 2.13-2.18, 1 Er 2.30
O  0.8404  0.5094  0.3907  1 Bi 2.10, 1 Er 2.25
O  0.8404  0.9906  0.8907  1 Bi 2.10, 1 Er 2.25
O  0.8951  0.0074  0.3332  1 Bi 2.18, 2 Er 2.22-2.24
O  0.8951  0.4926  0.8332  1 Bi 2.18, 2 Er 2.22-2.24



What is the formula in the second record?
NbGaCuSb2